(1)
Here is a relaxed In3Co crystal from Alexandria. Energies are from GGA-PBEsol.

The structure in POSCAR format:
```
In3Co
1.0
6.7545 0.0000 0.0000
0.0000 6.7545 0.0000
0.0000 0.0000 6.9807
In Co
12 4
direct
0.5000 0.0000 0.5000
0.6544 0.3456 0.2556
0.6544 0.3456 0.7444
0.8456 0.8456 0.2444
0.1544 0.1544 0.2444
0.8456 0.8456 0.7556
0.0000 0.5000 0.0000
0.5000 0.0000 0.0000
0.0000 0.5000 0.5000
0.3456 0.6544 0.7444
0.1544 0.1544 0.7556
0.3456 0.6544 0.2556
0.6499 0.6499 0.5000
0.1499 0.8501 0.0000
0.3501 0.3501 0.5000
0.8501 0.1499 0.0000
```

Properties
DOS(E_F) (states/eV/cell): 5.191
Energy of formation (eV per atom): -0.070
Space group: No. 136

=====

(2)
Here is a relaxed In4Co crystal from Alexandria. Energies are from GGA-PBEsol.

The structure in POSCAR format:
```
In4Co
1.0
5.2224 0.0000 0.0000
-1.7408 4.9238 0.0000
-1.7408 -2.4619 4.2641
Co In
1 4
direct
0.0000 0.0000 0.0000
0.5000 0.5000 0.5000
0.5000 0.0000 0.0000
0.0000 0.5000 0.0000
0.0000 0.0000 0.5000
```

Properties
DOS(E_F) (states/eV/cell): 3.725
Energy of formation (eV per atom): 0.022
Space group: No. 229

=====

(3)
Here is a relaxed InCo crystal from Alexandria. Energies are from GGA-PBEsol.

The structure in POSCAR format:
```
InCo
1.0
2.9851 0.0000 0.0000
1.4925 2.5852 0.0000
1.4925 0.8617 8.5874
Co In
2 2
direct
0.1356 0.1356 0.5931
0.8644 0.8644 0.4069
0.3873 0.3873 0.8381
0.6127 0.6127 0.1619
```

Properties
DOS(E_F) (states/eV/cell): 4.129
Energy of formation (eV per atom): 0.390
Space group: No. 166

=====

(4)
Here is a relaxed In3Co crystal from Alexandria. Energies are from GGA-PBEsol.

The structure in POSCAR format:
```
In3Co
1.0
5.2914 0.0000 0.0000
0.0000 7.1594 0.0000
0.0000 0.0000 8.0310
In Co
12 4
direct
0.3656 0.8288 0.4450
0.3656 0.8288 0.0550
0.0992 0.0161 0.7500
0.5992 0.4839 0.2500
0.1344 0.3288 0.4450
0.4008 0.5161 0.7500
0.8656 0.6712 0.5550
0.8656 0.6712 0.9450
0.9008 0.9839 0.2500
0.1344 0.3288 0.0550
0.6344 0.1712 0.5550
0.6344 0.1712 0.9450
0.9351 0.3678 0.7500
0.0649 0.6322 0.2500
0.5649 0.8678 0.7500
0.4351 0.1322 0.2500
```

Properties
DOS(E_F) (states/eV/cell): 9.332
Energy of formation (eV per atom): -0.011
Space group: No. 62

=====

(5)
Here is a relaxed InCo2 crystal from Alexandria. Energies are from GGA-PBEsol.

The structure in POSCAR format:
```
InCo2
1.0
-3.0391 0.1364 -1.9652
1.2768 -2.6149 -2.1561
-1.8779 -3.3628 6.0081
In Co
2 4
direct
0.2500 0.7500 0.5000
0.0000 0.0000 0.0000
0.4186 0.4186 0.8372
0.5814 0.5814 0.1628
0.8314 0.3314 0.6628
0.6686 0.1686 0.3372
```

Properties
DOS(E_F) (states/eV/cell): 7.824
Energy of formation (eV per atom): 0.365
Space group: No. 141

=====

(6)
Here is a relaxed InCo2 crystal from Alexandria. Energies are from GGA-PBEsol.

The structure in POSCAR format:
```
InCo2
1.0
2.8954 0.0000 0.0000
0.0000 2.8978 0.0000
-1.4477 -1.4489 4.7897
In Co
1 2
direct
0.0000 0.0000 0.0000
0.6854 0.6854 0.3709
0.3146 0.3146 0.6291
```

Properties
DOS(E_F) (states/eV/cell): 4.147
Energy of formation (eV per atom): 0.173
Space group: No. 139